[1]
## TlHgAu2 (PBE-GGA)

Data for TlHgAu2 after structural relaxation.

```
data_TlHgAu2
_chemical_formula_sum 'Tl2 Hg2 Au4'
_cell_length_a 4.538
_cell_length_b 4.538
_cell_length_c 8.521
_cell_angle_alpha 90.00
_cell_angle_beta 90.00
_cell_angle_gamma 90.00
_symmetry_space_group_name_H-M 'I -4 m 2'
_symmetry_Int_Tables_number 119
_symmetry_space_group_name_Hall 'I -4 -2'
loop_
_atom_site_label
_atom_site_fract_x
_atom_site_fract_y
_atom_site_fract_z
Tl1 0.000 0.000 0.000
Hg1 0.000 0.500 0.250
Au1 0.000 0.000 0.500
Au2 0.000 0.500 0.750
```



[2]
## TlHg3Au2 (PBE-GGA)

Data for TlHg3Au2 after structural relaxation.

```
data_TlHg3Au2
_chemical_formula_sum 'Tl4 Hg12 Au8'
_cell_length_a 14.989
_cell_length_b 4.438
_cell_length_c 11.484
_cell_angle_alpha 90.00
_cell_angle_beta 128.52
_cell_angle_gamma 90.00
_symmetry_space_group_name_H-M 'C 1 2/m 1'
_symmetry_Int_Tables_number 12
_symmetry_space_group_name_Hall '-C 2y'
loop_
_atom_site_label
_atom_site_fract_x
_atom_site_fract_y
_atom_site_fract_z
Tl1 0.145 0.000 0.229
Hg1 0.041 0.500 0.409
Hg2 0.051 0.500 0.918
Hg3 0.149 0.000 0.731
Au1 0.207 0.000 0.535
Au2 0.211 0.000 0.035
```



Number 1: DFT formation energy 0.1103 eV/atom, total magnetic moment 0.000 μB/cell. Number 2: DFT formation energy 0.0245 eV/atom, total magnetic moment 0.000 μB/cell.